# PaCo2TeO6, relaxed, DFT PBE+U
data_PaCo2TeO6
_chemical_formula_sum 'Pa1 Co2 Te1 O6'
_symmetry_space_group_name_H-M 'P 1'
_symmetry_Int_Tables_number 1
_symmetry_space_group_name_Hall 'P 1'
_cell_length_a 5.595
_cell_length_b 5.697
_cell_length_c 5.726
_cell_angle_alpha 99.54
_cell_angle_beta 117.83
_cell_angle_gamma 110.98
loop_
_atom_site_label
_atom_site_fract_x
_atom_site_fract_y
_atom_site_fract_z
Pa1 0.000 0.000 0.000
Co1 0.441 0.108 0.748
Co2 0.537 0.717 0.246
Te1 0.005 0.449 0.605
O1 0.043 0.606 0.968
O2 0.309 0.224 0.430
O3 0.318 0.320 0.944
O4 0.620 0.943 0.604
O5 0.646 0.996 0.072
O6 0.960 0.763 0.526
# **Uncorrected energy**: -68.6 eV/cell
# **N(E_F)**: 0.10 states/eV/f.u.
# **Calculated volume**: 13.792 Å³ per atom